1.
VASP calculation (PBE) on LiZnHg6 after structural relaxation.

a = 6.325 Å, b = 6.325 Å, c = 6.370 Å
α = 104.54°, β = 104.54°, γ = 117.96°
Sites, in units of the cell vectors:
Li: 0.000 0.000 0.000
Zn: 0.000 0.000 0.500
Hg: 0.214 0.783 0.247
Hg: 0.217 0.786 0.753
Hg: 0.497 0.497 0.745
Hg: 0.503 0.503 0.255
Hg: 0.783 0.214 0.247
Hg: 0.786 0.217 0.753

Output
E_form = -43 meV per atom
Symmetry = C2/m (12)
Electronic total energy = -0.67 eV/atom


2.
VASP calculation (PBE) on Li4ZnHg5 after structural relaxation.

a = 3.389 Å, b = 3.389 Å, c = 16.338 Å
α = 90.00°, β = 90.00°, γ = 90.00°
Sites, in units of the cell vectors:
Li: 0.000 0.000 0.099
Li: 0.000 0.000 0.296
Li: 0.000 0.000 0.704
Li: 0.000 0.000 0.901
Zn: 0.000 0.000 0.500
Hg: 0.500 0.500 0.000
Hg: 0.500 0.500 0.195
Hg: 0.500 0.500 0.392
Hg: 0.500 0.500 0.608
Hg: 0.500 0.500 0.805

Output
E_form = -286 meV per atom
Symmetry = P4/mmm (123)
Electronic total energy = -1.33 eV/atom


3.
VASP calculation (PBE) on LiZn2Hg2 after structural relaxation.

a = 7.989 Å, b = 7.989 Å, c = 7.989 Å
α = 153.50°, β = 153.50°, γ = 37.83°
Sites, in units of the cell vectors:
Li: 0.000 0.000 0.000
Zn: 0.250 0.750 0.500
Zn: 0.750 0.250 0.500
Hg: 0.401 0.401 0.000
Hg: 0.599 0.599 0.000

Output
E_form = -53 meV per atom
Symmetry = I4/mmm (139)
Relative energy among the computed polymorphs = 0.0 meV/atom
Electronic total energy = -1.07 eV/atom


4.
VASP calculation (PBE) on LiZrHg4 after structural relaxation.

a = 5.182 Å, b = 5.182 Å, c = 6.263 Å
α = 107.55°, β = 107.55°, γ = 59.45°
Sites, in units of the cell vectors:
Li: 0.000 0.000 0.000
Zr: 0.500 0.500 0.500
Hg: 0.162 0.162 0.480
Hg: 0.337 0.337 0.007
Hg: 0.663 0.663 0.993
Hg: 0.838 0.838 0.520

Output
E_form = -76 meV per atom
Symmetry = C2/m (12)
Relative energy among the computed polymorphs = 61.9 meV/atom
Electronic total energy = -2.02 eV/atom


5.
VASP calculation (PBE) on LiZrHg after structural relaxation.

a = 6.474 Å, b = 6.474 Å, c = 6.474 Å
α = 152.13°, β = 152.13°, γ = 39.82°
Sites, in units of the cell vectors:
Li: 0.000 0.000 0.000
Zr: 0.314 0.314 0.000
Hg: 0.634 0.634 0.000

Output
E_form = -27 meV per atom
Symmetry = I4mm (107)
Relative energy among the computed polymorphs = 188.5 meV/atom
Electronic total energy = -3.61 eV/atom


6.
VASP calculation (PBE) on LiZr2Hg6 after structural relaxation.

a = 8.482 Å, b = 8.482 Å, c = 3.196 Å
α = 90.22°, β = 90.22°, γ = 58.11°
Sites, in units of the cell vectors:
Li: 0.000 0.000 0.000
Zr: 0.313 0.313 0.500
Zr: 0.687 0.687 0.500
Hg: 0.020 0.663 0.002
Hg: 0.326 0.674 0.500
Hg: 0.337 0.980 0.998
Hg: 0.663 0.020 0.002
Hg: 0.674 0.326 0.500
Hg: 0.980 0.337 0.998

Output
E_form = -68 meV per atom
Symmetry = C2/m (12)
Electronic total energy = -2.38 eV/atom


7.
VASP calculation (PBE) on LiZr2Hg2 after structural relaxation.

a = 6.874 Å, b = 6.874 Å, c = 4.533 Å
α = 90.00°, β = 90.00°, γ = 90.00°
Sites, in units of the cell vectors:
Li: 0.000 0.000 0.000
Li: 0.500 0.500 0.000
Zr: 0.163 0.337 0.500
Zr: 0.337 0.837 0.500
Zr: 0.663 0.163 0.500
Zr: 0.837 0.663 0.500
Hg: 0.149 0.649 0.000
Hg: 0.351 0.149 0.000
Hg: 0.649 0.851 0.000
Hg: 0.851 0.351 0.000

Output
E_form = -50 meV per atom
Symmetry = P4/mbm (127)
Relative energy among the computed polymorphs = 0.0 meV/atom
Electronic total energy = -3.97 eV/atom


8.
VASP calculation (PBE) on LiZr2Hg after structural relaxation.

a = 5.513 Å, b = 5.513 Å, c = 5.274 Å
α = 111.62°, β = 111.62°, γ = 33.93°
Sites, in units of the cell vectors:
Li: 0.000 0.000 0.000
Zr: 0.521 0.521 0.516
Zr: 0.762 0.762 0.356
Hg: 0.277 0.277 0.880

Output
E_form = -11 meV per atom
Symmetry = Cm (8)
Electronic total energy = -4.84 eV/atom


9.
VASP calculation (PBE) on LiZr2Hg after structural relaxation.

a = 3.434 Å, b = 3.434 Å, c = 6.894 Å
α = 90.00°, β = 90.00°, γ = 90.00°
Sites, in units of the cell vectors:
Li: 0.000 0.000 0.000
Zr: 0.500 0.500 0.230
Zr: 0.500 0.500 0.770
Hg: 0.000 0.000 0.500

Output
E_form = 71 meV per atom
Symmetry = P4/mmm (123)
Electronic total energy = -4.76 eV/atom


10.
VASP calculation (PBE) on LiZr2Hg after structural relaxation.

a = 4.584 Å, b = 3.512 Å, c = 5.076 Å
α = 90.00°, β = 90.31°, γ = 90.00°
Sites, in units of the cell vectors:
Li: 0.000 0.000 0.000
Zr: 0.000 0.500 0.500
Zr: 0.500 0.000 0.500
Hg: 0.500 0.500 0.000

Output
E_form = -15 meV per atom
Symmetry = P2/m (10)
Electronic total energy = -4.84 eV/atom


11.
VASP calculation (PBE) on LiZr2Hg after structural relaxation.

a = 5.443 Å, b = 5.443 Å, c = 5.443 Å
α = 134.45°, β = 134.45°, γ = 66.39°
Sites, in units of the cell vectors:
Li: 0.000 0.000 0.000
Zr: 0.250 0.750 0.500
Zr: 0.750 0.250 0.500
Hg: 0.500 0.500 0.000

Output
E_form = -9 meV per atom
Symmetry = I4/mmm (139)
Electronic total energy = -4.84 eV/atom


12.
VASP calculation (PBE) on LiZr2Hg after structural relaxation.

a = 5.412 Å, b = 5.412 Å, c = 5.412 Å
α = 133.66°, β = 133.66°, γ = 67.62°
Sites, in units of the cell vectors:
Li: 0.000 0.000 0.000
Zr: 0.250 0.750 0.500
Zr: 0.500 0.500 0.000
Hg: 0.750 0.250 0.500

Output
E_form = 60 meV per atom
Symmetry = I-4m2 (119)
Electronic total energy = -4.77 eV/atom


13.
VASP calculation (PBE) on LiZrHg3 after structural relaxation.

a = 4.699 Å, b = 4.699 Å, c = 4.699 Å
α = 90.00°, β = 90.00°, γ = 90.00°
Sites, in units of the cell vectors:
Li: 0.000 0.000 0.000
Zr: 0.500 0.500 0.500
Hg: 0.000 0.000 0.500
Hg: 0.000 0.500 0.000
Hg: 0.500 0.000 0.000

Output
E_form = 161 meV per atom
Symmetry = Pm-3m (221)
Relative energy among the computed polymorphs = 0.0 meV/atom
Electronic total energy = -2.11 eV/atom


14.
VASP calculation (PBE) on LiZrHg after structural relaxation.

a = 4.764 Å, b = 4.764 Å, c = 2.968 Å
α = 90.00°, β = 90.00°, γ = 120.00°
Sites, in units of the cell vectors:
Li: 0.000 0.000 0.000
Zr: 0.667 0.333 0.500
Hg: 0.333 0.667 0.000

Output
E_form = -89 meV per atom
Symmetry = P-6m2 (187)
Relative energy among the computed polymorphs = 126.4 meV/atom
Electronic total energy = -3.68 eV/atom


15.
VASP calculation (PBE) on LiZrHg after structural relaxation.

a = 5.165 Å, b = 5.165 Å, c = 5.165 Å
α = 146.61°, β = 127.50°, γ = 63.66°
Sites, in units of the cell vectors:
Li: 0.000 0.000 0.000
Zr: 0.675 0.675 0.000
Hg: 0.337 0.337 0.000

Output
E_form = -15 meV per atom
Symmetry = Imm2 (44)
Relative energy among the computed polymorphs = 200.4 meV/atom
Electronic total energy = -3.60 eV/atom


16.
VASP calculation (PBE) on Li2ZrHg2 after structural relaxation.

a = 7.825 Å, b = 7.825 Å, c = 3.002 Å
α = 90.00°, β = 90.00°, γ = 90.00°
Sites, in units of the cell vectors:
Li: 0.117 0.383 0.000
Li: 0.383 0.883 0.000
Li: 0.617 0.117 0.000
Li: 0.883 0.617 0.000
Zr: 0.000 0.000 0.000
Zr: 0.500 0.500 0.000
Hg: 0.182 0.682 0.500
Hg: 0.318 0.182 0.500
Hg: 0.682 0.818 0.500
Hg: 0.818 0.318 0.500

Output
E_form = -192 meV per atom
Symmetry = P4/mbm (127)
Relative energy among the computed polymorphs = 0.0 meV/atom
Electronic total energy = -2.79 eV/atom


17.
VASP calculation (PBE) on LiZrHg4 after structural relaxation.

a = 5.790 Å, b = 5.790 Å, c = 5.790 Å
α = 60.00°, β = 60.00°, γ = 60.00°
Sites, in units of the cell vectors:
Li: 0.000 0.000 0.000
Zr: 0.750 0.750 0.750
Hg: 0.375 0.375 0.375
Hg: 0.375 0.375 0.874
Hg: 0.375 0.874 0.375
Hg: 0.874 0.375 0.375

Output
E_form = 182 meV per atom
Symmetry = F-43m (216)
Relative energy among the computed polymorphs = 319.7 meV/atom
Electronic total energy = -1.76 eV/atom


18.
VASP calculation (PBE) on LiZrHg after structural relaxation.

a = 3.069 Å, b = 3.069 Å, c = 7.825 Å
α = 90.00°, β = 90.00°, γ = 120.00°
Sites, in units of the cell vectors:
Li: 0.000 0.000 0.000
Zr: 0.667 0.333 0.355
Hg: 0.333 0.667 0.697

Output
E_form = 39 meV per atom
Symmetry = P3m1 (156)
Relative energy among the computed polymorphs = 254.3 meV/atom
Electronic total energy = -3.55 eV/atom


19.
VASP calculation (PBE) on LiZr2Hg after structural relaxation.

a = 5.871 Å, b = 5.871 Å, c = 2.982 Å
α = 97.84°, β = 97.84°, γ = 122.67°
Sites, in units of the cell vectors:
Li: 0.000 0.000 0.000
Zr: 0.000 0.500 0.500
Zr: 0.500 0.000 0.500
Hg: 0.500 0.500 0.000

Output
E_form = 42 meV per atom
Symmetry = C2/m (12)
Electronic total energy = -4.79 eV/atom


20.
VASP calculation (PBE) on Li2ZrHg2 after structural relaxation.

a = 7.484 Å, b = 7.484 Å, c = 7.484 Å
α = 150.96°, β = 150.96°, γ = 41.53°
Sites, in units of the cell vectors:
Li: 0.250 0.750 0.500
Li: 0.750 0.250 0.500
Zr: 0.000 0.000 0.000
Hg: 0.391 0.391 0.000
Hg: 0.609 0.609 0.000

Output
E_form = -108 meV per atom
Symmetry = I4/mmm (139)
Relative energy among the computed polymorphs = 84.6 meV/atom
Electronic total energy = -2.70 eV/atom